Record 1
Density functional theory data (GGA+U) for an optimized crystal structure of Cs3MnCd2F9.

Geometry as CIF:
```
data_Cs3MnCd2F9
_chemical_formula_sum 'Cs3 Mn1 Cd2 F9'
_space_group_name_H-M_alt 'P -3 m 1'
_space_group_IT_number 164
_space_group_name_Hall '-P 3 2"'
_cell_length_a 6.3614
_cell_length_b 6.3614
_cell_length_c 7.7951
_cell_angle_alpha 90.00
_cell_angle_beta 90.00
_cell_angle_gamma 120.00
loop_
_atom_site_label
_atom_site_fract_x
_atom_site_fract_y
_atom_site_fract_z
_atom_site_occupancy
Cs1 0.0000 0.0000 0.0000 1
Cs2 0.3333 0.6667 0.6681 1
Mn1 0.0000 0.0000 0.5000 1
Cd1 0.3333 0.6667 0.1738 1
F1 0.0000 0.5000 0.0000 1
F2 0.1616 0.3232 0.3400 1
```

Output
As for the total energy: -67.1 eV per cell.



Record 2
Density functional theory data (GGA+U) for an optimized crystal structure of Cs2Mn3CdF12.

Geometry as CIF:
```
data_Cs2Mn3CdF12
_chemical_formula_sum 'Cs6 Mn9 Cd3 F36'
_space_group_name_H-M_alt 'R -3 m'
_space_group_IT_number 166
_space_group_name_Hall '-R 3 2"'
_cell_length_a 7.7613
_cell_length_b 7.7613
_cell_length_c 18.2895
_cell_angle_alpha 90.00
_cell_angle_beta 90.00
_cell_angle_gamma 120.00
loop_
_atom_site_label
_atom_site_fract_x
_atom_site_fract_y
_atom_site_fract_z
_atom_site_occupancy
Cs1 0.0000 0.0000 0.1175 1
Mn1 0.0000 0.5000 0.0000 1
Cd1 0.0000 0.0000 0.5000 1
F1 0.0412 0.5206 0.1051 1
F2 0.0763 0.5382 0.3455 1
```

Output
As for the total energy: -282.0 eV per cell.



Record 3
Density functional theory data (GGA+U) for an optimized crystal structure of CsCdMoF6.

Geometry as CIF:
```
data_CsCdMoF6
_chemical_formula_sum 'Cs4 Cd4 Mo4 F24'
_space_group_name_H-M_alt 'I m m a'
_space_group_IT_number 74
_space_group_name_Hall '-I 2b 2'
_cell_length_a 7.923
_cell_length_b 8.019
_cell_length_c 11.398
_cell_angle_alpha 90.00
_cell_angle_beta 90.00
_cell_angle_gamma 90.00
loop_
_atom_site_label
_atom_site_fract_x
_atom_site_fract_y
_atom_site_fract_z
_atom_site_occupancy
Cs1 0.000 0.250 0.110 1
Cd1 0.250 0.250 0.750 1
Mo1 0.000 0.000 0.500 1
F1 0.000 0.250 0.442 1
F2 0.000 0.250 0.836 1
F3 0.192 0.037 0.623 1
```

Output
As for the total energy: -172.0 eV per cell.